A relaxed BaTl2V3F12 crystal, computed with GGA+U.

Cell: 7.4408 7.4408 7.4408 Å, 62.91 62.91 62.91°
Sites, in units of the cell vectors:
Ba1 0.0000 0.0000 0.0000
Tl1 0.3750 0.3750 0.3750
Tl2 0.6250 0.6250 0.6250
V1 0.0000 0.0000 0.5000
V2 0.0000 0.5000 0.0000
V3 0.5000 0.0000 0.0000
F1 0.0968 0.7301 0.7301
F2 0.1313 0.1313 0.5683
F3 0.1313 0.5683 0.1313
F4 0.2699 0.2699 0.9032
F5 0.2699 0.9032 0.2699
F6 0.4317 0.8687 0.8687
F7 0.5683 0.1313 0.1313
F8 0.7301 0.0968 0.7301
F9 0.7301 0.7301 0.0968
F10 0.8687 0.4317 0.8687
F11 0.8687 0.8687 0.4317
F12 0.9032 0.2699 0.2699

Output
- Final energy: -5.661 eV/atom
- Space group: R-3m (166)